First-principles (PBE+U) data for a relaxed YCrF3 crystal, as listed in Alexandria.

a = 4.281 Å, b = 4.281 Å, c = 4.281 Å
α = 90.00°, β = 90.00°, γ = 90.00°
Positions (direct):
Y  0.500  0.500  0.500
Cr  0.000  0.000  0.000
F  0.000  0.500  0.000
F  0.500  0.000  0.000
F  0.000  0.000  0.500

Calculated values
energy: -5.877 eV/atom
SG: Pm-3m
DOS at the Fermi energy: 0.6883 states/eV/atom